1.
The following is a DFT calculation (PBE-GGA) of Ba5Al2Bi6 after structural relaxation.

The space group is Pbam (No. 55) and the conventional cell measures 13.816, 15.651 and 4.873 Å, with angles of 90.00, 90.00 and 90.00 degrees. The inequivalent atoms are Ba at (0.000, 0.000, 0.000), Ba at (0.094, 0.251, 0.000), Ba at (0.168, 0.520, 0.000), Al at (0.175, 0.705, 0.500), Bi at (0.008, 0.401, 0.500), Bi at (0.159, 0.807, 0.000) and Bi at (0.160, 0.095, 0.500).

As for the energy relative to the elements: -0.67 eV/atom.

***

2.
The following is a DFT calculation (PBE-GGA) of Rb3SrCd after structural relaxation.

The space group is Pm-3m (No. 221) and the conventional cell measures 8.448, 8.448 and 8.448 Å, with angles of 90.00, 90.00 and 90.00 degrees. The inequivalent atoms are Rb at (0.000, 0.000, 0.500), Sr at (0.000, 0.000, 0.000) and Cd at (0.500, 0.500, 0.500).

The calculation puts the distance to the lowest polymorph of the same formula at 298 meV/atom. As for the energy relative to the elements: 0.47 eV/atom.

***

3.
The following is a DFT calculation (PBE-GGA) of AcCu12Si7 after structural relaxation.

The space group is R-3m (No. 166, hexagonal axes) and the conventional cell measures 12.5993, 12.5993 and 6.3029 Å, with angles of 90.00, 90.00 and 120.00 degrees. The inequivalent atoms are Ac at (0.0000, 0.0000, 0.0000), Cu at (0.0000, 0.2617, 0.0000), Cu at (0.1111, 0.2223, 0.3179), Si at (0.0000, 0.0000, 0.5000) and Si at (0.0962, 0.5481, 0.3688).

***

4.
The following is a DFT calculation (PBE-GGA) of DyNiAsH after structural relaxation.

The space group is P3m1 (No. 156) and the conventional cell measures 4.0662, 4.0662 and 3.9284 Å, with angles of 90.00, 90.00 and 120.00 degrees. The inequivalent atoms are Dy at (0.0000, 0.0000, 0.0000), Ni at (0.6667, 0.3333, 0.5409), As at (0.3333, 0.6667, 0.4781) and H at (0.6667, 0.3333, 0.9538).

***

The records above give, respectively, calculated volume values of 1053.6; 602.9; 866.5; 56.3 Å³/cell.
The records above give, respectively, VASP energy values of -3.776; -0.628; -4.541; -5.493 eV per atom.